No. 1
An optimized crystal structure of Sm6CSe3N2, computed with PBE-GGA.

The raw formation energy comes out at -1472 meV per atom.

It has space group C2/m (No. 12), with a = 6.589 Å, b = 11.415 Å, c = 7.054 Å, α = 90.00°, β = 108.11° and γ = 90.00°. The asymmetric unit holds Sm at (0.233, 0.000, 0.203), Sm at (0.235, 0.333, 0.204), C at (0.000, 0.500, 0.000), Se at (0.000, 0.000, 0.500), Se at (0.000, 0.334, 0.500) and N at (0.000, 0.167, 0.000).

No. 2
An optimized crystal structure of Sm8C3Se4N, computed with PBE-GGA.

The raw formation energy comes out at -1227 meV per atom.

It has space group R-3m (No. 166, hexagonal axes), with a = 7.6943 Å, b = 7.6943 Å, c = 20.1994 Å, α = 90.00°, β = 90.00° and γ = 120.00°. The asymmetric unit holds Sm at (0.0000, 0.0000, 0.2361), Sm at (0.0006, 0.5003, 0.7652), C at (0.0000, 0.5000, 0.5000), Se at (0.0000, 0.0000, 0.0000), Se at (0.0000, 0.5000, 0.0000) and N at (0.0000, 0.0000, 0.5000).

No. 3
An optimized crystal structure of Sm8CSe4N3, computed with PBE-GGA.

The raw formation energy comes out at -1515 meV per atom.

It has space group R-3m (No. 166, hexagonal axes), with a = 7.5977 Å, b = 7.5977 Å, c = 20.0748 Å, α = 90.00°, β = 90.00° and γ = 120.00°. The asymmetric unit holds Sm at (0.0000, 0.0000, 0.2337), Sm at (0.9999, 0.4999, 0.2346), C at (0.0000, 0.0000, 0.5000), Se at (0.0000, 0.0000, 0.0000), Se at (0.0000, 0.5000, 0.0000) and N at (0.0000, 0.5000, 0.5000).

No. 4
An optimized crystal structure of Sm2CSe2N2, computed with PBE-GGA.

The raw formation energy comes out at -1289 meV per atom.

It has space group C2/m (No. 12), with a = 9.534 Å, b = 4.212 Å, c = 7.085 Å, α = 90.00°, β = 97.96° and γ = 90.00°. The asymmetric unit holds Sm at (0.183, 0.000, 0.258), C at (0.000, 0.500, 0.500), Se at (0.126, 0.000, 0.840) and N at (0.119, 0.500, 0.449).

Q: Among the records above, which one has the lowest raw formation energy?
A: Sm8CSe4N3

Q: Which value of raw formation energy does entry 3 give?
A: -1515 meV per atom